Computed, not measured: a relaxed PmLuGaNi crystal at the GGA-PBE level of DFT.

Calculated values
Volume, Å³/f.u.: 85.9
Total magnetic moment, μB/f.u.: 0.00
E_tot, eV per cell: -19.75
DFT formation energy, eV per atom: -0.42
N(E_F), states/eV/f.u.: 3.7

Cell: 4.952 4.952 4.952 Å, 60.00 60.00 60.00°
Fractional positions:
Ni1 0.250 0.250 0.250
Lu1 0.500 0.500 0.500
Ga1 0.750 0.750 0.750
Pm1 0.000 0.000 0.000